Entry from the Alexandria database: a crystal of TcTe2Ru relaxed with PBEsol (meta-GGA SCAN).

Cell: 3.238 5.395 8.488 Å, 90.00 90.00 90.00°
Space group Immm (No. 71)
Inequivalent atoms, fractional coordinates:
Tc 0.000 0.000 0.000
Te 0.000 0.500 0.245
Ru 0.000 0.000 0.500

Output
**ΔE to the lowest computed polymorph**: 498 meV per atom

---

Entry from the Alexandria database: a crystal of TlTcRu2 relaxed with PBEsol (meta-GGA SCAN).

Cell: 6.281 6.281 6.281 Å, 90.00 90.00 90.00°
Space group Fm-3m (No. 225)
Inequivalent atoms, fractional coordinates:
Tl 0.000 0.000 0.000
Tc 0.000 0.000 0.500
Ru 0.250 0.250 0.250

Output
**Formation energy**: 538 meV/atom